[1]
# La2ZnOs (PBE, optimized geometry)
# Crystal system   tetragonal
# Formation energy   0.066 eV/atom
# Total moment   0.0 μB per cell
data_La2ZnOs
_chemical_formula_sum 'La2 Zn1 Os1'
_symmetry_space_group_name_H-M 'P 4 m m'
_symmetry_Int_Tables_number 99
_cell_length_a 3.481
_cell_length_b 3.481
_cell_length_c 8.467
_cell_angle_alpha 90.00
_cell_angle_beta 90.00
_cell_angle_gamma 90.00
loop_
_symmetry_equiv_pos_as_xyz
'x,y,z'
'-y,x,z'
'-x,-y,z'
'y,-x,z'
'-x,y,z'
'y,x,z'
'x,-y,z'
'-y,-x,z'
loop_
_atom_site_label
_atom_site_fract_x
_atom_site_fract_y
_atom_site_fract_z
La1 0.000 0.000 0.000
La2 0.500 0.500 0.425
Zn1 0.500 0.500 0.776
Os1 0.000 0.000 0.648

---

[2]
# Ac2SmMg16 (PBE, optimized geometry)
# Crystal system   trigonal
# Formation energy   -0.063 eV/atom
# Total moment   0.0 μB per cell
data_Ac2SmMg16
_chemical_formula_sum 'Ac6 Sm3 Mg48'
_symmetry_space_group_name_H-M 'R 3 m'
_symmetry_Int_Tables_number 160
_symmetry_space_group_name_Hall 'R 3 -2"'
_cell_length_a 10.5815
_cell_length_b 10.5815
_cell_length_c 15.4938
_cell_angle_alpha 90.00
_cell_angle_beta 90.00
_cell_angle_gamma 120.00
loop_
_atom_site_label
_atom_site_fract_x
_atom_site_fract_y
_atom_site_fract_z
Ac1 0.0000 0.0000 0.0000
Ac2 0.0000 0.0000 0.3233
Sm1 0.0000 0.0000 0.5648
Mg1 0.0000 0.0000 0.7707
Mg2 0.0011 0.2984 0.6578
Mg3 0.0029 0.5015 0.8084
Mg4 0.1700 0.3400 0.4912
Mg5 0.1705 0.3410 0.8386

---

[3]
# Er4Cu2Pd (PBE, optimized geometry)
# Crystal system   trigonal
# Formation energy   -0.334 eV/atom
# Total moment   0.0 μB per cell
data_Er4Cu2Pd
_chemical_formula_sum 'Er12 Cu6 Pd3'
_symmetry_space_group_name_H-M 'R -3 m'
_symmetry_Int_Tables_number 166
_symmetry_space_group_name_Hall '-R 3 2"'
_cell_length_a 4.8571
_cell_length_b 4.8571
_cell_length_c 23.6747
_cell_angle_alpha 90.00
_cell_angle_beta 90.00
_cell_angle_gamma 120.00
loop_
_atom_site_label
_atom_site_fract_x
_atom_site_fract_y
_atom_site_fract_z
Er1 0.0000 0.0000 0.1232
Er2 0.0000 0.0000 0.3737
Cu1 0.0000 0.0000 0.2509
Pd1 0.0000 0.0000 0.5000

---

[4]
# PmPa2Pb (PBE, optimized geometry)
# Crystal system   cubic
# Formation energy   0.396 eV/atom
# Total moment   0.0 μB per cell
data_PmPa2Pb
_chemical_formula_sum 'Pm4 Pa8 Pb4'
_symmetry_space_group_name_H-M 'F m -3 m'
_symmetry_Int_Tables_number 225
_symmetry_space_group_name_Hall '-F 4 2 3'
_cell_length_a 7.632
_cell_length_b 7.632
_cell_length_c 7.632
_cell_angle_alpha 90.00
_cell_angle_beta 90.00
_cell_angle_gamma 90.00
loop_
_atom_site_label
_atom_site_fract_x
_atom_site_fract_y
_atom_site_fract_z
Pm1 0.000 0.000 0.000
Pa1 0.250 0.250 0.250
Pb1 0.000 0.000 0.500

---

[5]
# RbTaCrN2 (PBE, optimized geometry)
# Crystal system   tetragonal
# Formation energy from raw total energies   369.9 kJ/mol of atoms
# Total moment   0.4 μB per cell
data_RbTaCrN2
_chemical_formula_sum 'Rb1 Ta1 Cr1 N2'
_symmetry_space_group_name_H-M 'P 4/m m m'
_symmetry_Int_Tables_number 123
_symmetry_space_group_name_Hall '-P 4 2'
_cell_length_a 4.167
_cell_length_b 4.167
_cell_length_c 5.266
_cell_angle_alpha 90.00
_cell_angle_beta 90.00
_cell_angle_gamma 90.00
loop_
_atom_site_label
_atom_site_fract_x
_atom_site_fract_y
_atom_site_fract_z
Rb1 0.000 0.000 0.000
Ta1 0.000 0.000 0.500
Cr1 0.500 0.500 0.500
N1 0.000 0.500 0.000

---

[6]
# Tb2DyN3 (PBE, optimized geometry)
# Crystal system   orthorhombic
# Formation energy from raw total energies   -161.7 kJ/mol of atoms
# Total moment   0.0 μB per cell
data_Tb2DyN3
_chemical_formula_sum 'Tb8 Dy4 N12'
_symmetry_space_group_name_H-M 'P n m a'
_symmetry_Int_Tables_number 62
_cell_length_a 6.980
_cell_length_b 4.935
_cell_length_c 10.473
_cell_angle_alpha 90.00
_cell_angle_beta 90.00
_cell_angle_gamma 90.00
loop_
_symmetry_equiv_pos_as_xyz
'x,y,z'
'-x,-y,-z'
'-x+1/2,-y,z+1/2'
'x+1/2,y,-z+1/2'
'x+1/2,-y+1/2,-z+1/2'
'-x+1/2,y+1/2,z+1/2'
'-x,y+1/2,-z'
'x,-y+1/2,z'
loop_
_atom_site_label
_atom_site_fract_x
_atom_site_fract_y
_atom_site_fract_z
Tb1 0.125 0.250 0.083
Tb2 0.125 0.250 0.750
Dy1 0.125 0.250 0.417
N1 0.124 0.750 0.417
N2 0.125 0.750 0.750
N3 0.126 0.750 0.083

---

[7]
# HfAlS2N (PBE, optimized geometry)
# Crystal system   tetragonal
# Formation energy from raw total energies   72.7 kJ/mol of atoms
# Total moment   2.9 μB per cell
data_HfAlS2N
_chemical_formula_sum 'Hf1 Al1 S2 N1'
_symmetry_space_group_name_H-M 'P 4/m m m'
_symmetry_Int_Tables_number 123
_symmetry_space_group_name_Hall '-P 4 2'
_cell_length_a 4.869
_cell_length_b 4.869
_cell_length_c 5.705
_cell_angle_alpha 90.00
_cell_angle_beta 90.00
_cell_angle_gamma 90.00
loop_
_atom_site_label
_atom_site_fract_x
_atom_site_fract_y
_atom_site_fract_z
Hf1 0.000 0.000 0.000
Al1 0.000 0.000 0.500
S1 0.000 0.500 0.000
N1 0.500 0.500 0.500

---

[8]
# Ho8Te3PS3 (PBE, optimized geometry)
# Crystal system   trigonal
# Formation energy from raw total energies   -145.7 kJ/mol of atoms
# Total moment   0.0 μB per cell
data_Ho8Te3PS3
_chemical_formula_sum 'Ho24 Te9 P3 S9'
_symmetry_space_group_name_H-M 'R -3 m'
_symmetry_Int_Tables_number 166
_symmetry_space_group_name_Hall '-R 3 2"'
_cell_length_a 8.0357
_cell_length_b 8.0357
_cell_length_c 20.6678
_cell_angle_alpha 90.00
_cell_angle_beta 90.00
_cell_angle_gamma 120.00
loop_
_atom_site_label
_atom_site_fract_x
_atom_site_fract_y
_atom_site_fract_z
Ho1 0.0000 0.0000 0.2334
Ho2 0.0005 0.5003 0.7631
Te1 0.0000 0.5000 0.0000
P1 0.0000 0.0000 0.5000
S1 0.0000 0.5000 0.5000

---

[9]
# Zr2TlIn (PBE, optimized geometry)
# Crystal system   monoclinic
# Formation energy   -0.080 eV/atom
# Total moment   0.0 μB per cell
data_Zr2TlIn
_chemical_formula_sum 'Zr4 Tl2 In2'
_symmetry_space_group_name_H-M 'C 1 2/m 1'
_symmetry_Int_Tables_number 12
_cell_length_a 10.347
_cell_length_b 3.179
_cell_length_c 5.756
_cell_angle_alpha 90.00
_cell_angle_beta 98.37
_cell_angle_gamma 90.00
loop_
_symmetry_equiv_pos_as_xyz
'x,y,z'
'-x,-y,-z'
'-x,y,-z'
'x,-y,z'
'x+1/2,y+1/2,z'
'-x+1/2,-y+1/2,-z'
'-x+1/2,y+1/2,-z'
'x+1/2,-y+1/2,z'
loop_
_atom_site_label
_atom_site_fract_x
_atom_site_fract_y
_atom_site_fract_z
Zr1 0.249 0.000 0.243
Tl1 0.000 0.000 0.500
In1 0.000 0.500 0.000

---

[10]
# Dy3Si2Au4 (PBE, optimized geometry)
# Crystal system   monoclinic
# Formation energy from raw total energies   -77.0 kJ/mol of atoms
# Total moment   0.0 μB per cell
data_Dy3Si2Au4
_chemical_formula_sum 'Dy6 Si4 Au8'
_symmetry_space_group_name_H-M 'C 1 2/m 1'
_symmetry_Int_Tables_number 12
_cell_length_a 10.728
_cell_length_b 4.408
_cell_length_c 8.637
_cell_angle_alpha 90.00
_cell_angle_beta 112.18
_cell_angle_gamma 90.00
loop_
_symmetry_equiv_pos_as_xyz
'x,y,z'
'-x,-y,-z'
'-x,y,-z'
'x,-y,z'
'x+1/2,y+1/2,z'
'-x+1/2,-y+1/2,-z'
'-x+1/2,y+1/2,-z'
'x+1/2,-y+1/2,z'
loop_
_atom_site_label
_atom_site_fract_x
_atom_site_fract_y
_atom_site_fract_z
Dy1 0.000 0.000 0.000
Dy2 0.163 0.500 0.668
Si1 0.109 0.500 0.281
Au1 0.065 0.000 0.386
Au2 0.210 0.500 0.065

---

[11]
# Al5ZnGa (PBE, optimized geometry)
# Crystal system   orthorhombic
# Formation energy   0.241 eV/atom
# Total moment   0.0 μB per cell
data_Al5ZnGa
_chemical_formula_sum 'Al10 Zn2 Ga2'
_symmetry_space_group_name_H-M 'I m m 2'
_symmetry_Int_Tables_number 44
_cell_length_a 5.292
_cell_length_b 6.817
_cell_length_c 7.475
_cell_angle_alpha 90.00
_cell_angle_beta 90.00
_cell_angle_gamma 90.00
loop_
_symmetry_equiv_pos_as_xyz
'x,y,z'
'-x,-y,z'
'-x,y,z'
'x,-y,z'
'x+1/2,y+1/2,z+1/2'
'-x+1/2,-y+1/2,z+1/2'
'-x+1/2,y+1/2,z+1/2'
'x+1/2,-y+1/2,z+1/2'
loop_
_atom_site_label
_atom_site_fract_x
_atom_site_fract_y
_atom_site_fract_z
Al1 0.000 0.000 0.000
Al2 0.000 0.313 0.208
Al3 0.245 0.500 0.867
Zn1 0.000 0.500 0.548
Ga1 0.000 0.000 0.667

---

[12]
# NdZn4Au (PBE, optimized geometry)
# Crystal system   orthorhombic
# Formation energy   -0.323 eV/atom
# Total moment   0.0 μB per cell
data_NdZn4Au
_chemical_formula_sum 'Nd4 Zn16 Au4'
_symmetry_space_group_name_H-M 'C m c m'
_symmetry_Int_Tables_number 63
_symmetry_space_group_name_Hall '-C 2c 2'
_cell_length_a 4.184
_cell_length_b 16.187
_cell_length_c 6.817
_cell_angle_alpha 90.00
_cell_angle_beta 90.00
_cell_angle_gamma 90.00
loop_
_atom_site_label
_atom_site_fract_x
_atom_site_fract_y
_atom_site_fract_z
Nd1 0.000 0.119 0.250
Zn1 0.000 0.070 0.750
Zn2 0.000 0.334 0.060
Zn3 0.000 0.500 0.000
Au1 0.000 0.235 0.750

---

| no. | total DFT energy (no corrections) (eV per atom) |
| --- | --- |
| 1 | -5.52 |
| 2 | -2.09 |
| 3 | -4.85 |
| 4 | -6.47 |
| 5 | -3.98 |
| 6 | -8.15 |
| 7 | -5.30 |
| 8 | -5.77 |
| 9 | -5.63 |
| 10 | -4.99 |
| 11 | -3.05 |
| 12 | -2.51 |